# GaReTe2I

A PBEsol-optimized structure of GaReTe2I (SCAN, Alexandria via LeMat-Bulk).

Properties
For the raw formation energy, the calculation gives 1.432 eV/atom. The calculation puts the density of states at the Fermi level at 0.671 states/eV/atom. As for the total energy: -38.305 eV per atom. The calculated volume comes out at 149 Å³/f.u. As for the symmetry: P4/mmm, No. 123.

Cell lengths 5.3161, 5.3161, 5.2591 Å; angles 90.00, 90.00, 90.00 degrees
Site moments in Bohr magnetons follow the coordinates.
Fractional coordinates of all 5 atoms:
I: 0.0000 0.0000 0.5000  0.00
Re: 0.5000 0.5000 0.5000  3.82
Te: 0.0000 0.5000 0.0000  -0.19
Te: 0.5000 0.0000 0.0000  -0.19
Ga: 0.0000 0.0000 0.0000  0.01


# Ga3RhI

A PBEsol-optimized structure of Ga3RhI (SCAN, Alexandria via LeMat-Bulk).

Properties
For the raw formation energy, the calculation gives 1.487 eV/atom. The calculation puts the density of states at the Fermi level at 0.640 states/eV/atom. As for the total energy: -22.423 eV per atom. The calculated volume comes out at 171 Å³/f.u. As for the symmetry: Pm-3m, No. 221.

Cell lengths 5.5491, 5.5491, 5.5491 Å; angles 90.00, 90.00, 90.00 degrees
Site moments in Bohr magnetons follow the coordinates.
Fractional coordinates of all 5 atoms:
I: 0.0000 0.0000 0.0000  0.01
Rh: 0.5000 0.5000 0.5000  1.73
Ga: 0.0000 0.5000 0.0000  -0.01
Ga: 0.0000 0.0000 0.5000  -0.01
Ga: 0.5000 0.0000 0.0000  -0.01